DFT (SCAN) results for a PBEsol-optimized structure of MnSb2Te.

Lattice parameters (Å, degrees): 3.4563 4.6986 11.7804 90.00 90.00 90.00
Space group Immm (No. 71)
Asymmetric unit:
Mn 0.0000 0.0000 0.0000 [2 per cell]
Sb 0.0000 0.5000 0.3170 [4 per cell]
Te 0.0000 0.0000 0.5000 [2 per cell]

Results
uncorrected formation energy	0.066	eV/atom
N(E_F)	4.3	states/eV/cell
calculated volume	95.7	Å³/f.u.
M_tot	3.6	μB per formula unit


DFT (SCAN) results for a PBEsol-optimized structure of MnSb2Te.

Lattice parameters (Å, degrees): 6.7174 7.9040 3.5714 90.00 90.00 90.00
Space group Cmmm (No. 65)
Asymmetric unit:
Mn 0.0000 0.0000 0.0000 [2 per cell]
Sb 0.2500 0.2500 0.5000 [4 per cell]
Te 0.0000 0.5000 0.0000 [2 per cell]

Results
uncorrected formation energy	0.251	eV/atom
N(E_F)	4.4	states/eV/cell
calculated volume	94.8	Å³/f.u.
M_tot	4.4	μB per formula unit


DFT (SCAN) results for a PBEsol-optimized structure of MnSb2Te.

Lattice parameters (Å, degrees): 5.1306 5.1306 7.1932 90.00 90.00 90.00
Space group I-4m2 (No. 119)
Asymmetric unit:
Mn 0.0000 0.0000 0.0000 [2 per cell]
Sb 0.0000 0.0000 0.5000 [2 per cell]
Sb 0.0000 0.5000 0.7500 [2 per cell]
Te 0.0000 0.5000 0.2500 [2 per cell]

Results
uncorrected formation energy	0.255	eV/atom
N(E_F)	5.9	states/eV/cell
calculated volume	94.7	Å³/f.u.
M_tot	4.3	μB per formula unit


DFT (SCAN) results for a PBEsol-optimized structure of MnSbTe3.

Lattice parameters (Å, degrees): 5.6222 5.6222 5.6222 90.00 90.00 90.00
Space group Pm-3m (No. 221)
Asymmetric unit:
Mn 0.0000 0.0000 0.0000 [1 per cell]
Sb 0.5000 0.5000 0.5000 [1 per cell]
Te 0.0000 0.5000 0.5000 [3 per cell]

Results
uncorrected formation energy	0.598	eV/atom
N(E_F)	3.2	states/eV/cell
calculated volume	177.7	Å³/f.u.
M_tot	5.1	μB per formula unit


DFT (SCAN) results for a PBEsol-optimized structure of Mn3SbTe.

Lattice parameters (Å, degrees): 4.8801 4.8801 4.8801 90.00 90.00 90.00
Space group Pm-3m (No. 221)
Asymmetric unit:
Mn 0.0000 0.0000 0.5000 [3 per cell]
Sb 0.5000 0.5000 0.5000 [1 per cell]
Te 0.0000 0.0000 0.0000 [1 per cell]

Results
uncorrected formation energy	0.595	eV/atom
N(E_F)	4.8	states/eV/cell
calculated volume	116.2	Å³/f.u.
M_tot	12.9	μB per formula unit


DFT (SCAN) results for a PBEsol-optimized structure of MnSbTe.

Lattice parameters (Å, degrees): 3.6979 3.6979 5.7192 90.00 90.00 120.00
Space group P3m1 (No. 156)
Asymmetric unit:
Mn 0.0000 0.0000 0.0000 [1 per cell]
Sb 0.3333 0.6667 0.7309 [1 per cell]
Te 0.6667 0.3333 0.2643 [1 per cell]

Results
uncorrected formation energy	-0.178	eV/atom
N(E_F)	1.3	states/eV/cell
calculated volume	67.7	Å³/f.u.
M_tot	2.8	μB per formula unit


DFT (SCAN) results for a PBEsol-optimized structure of MnSbTe2W.

Lattice parameters (Å, degrees): 5.0069 5.0069 4.8289 90.00 90.00 90.00
Space group P4/mmm (No. 123)
Asymmetric unit:
Mn 0.0000 0.0000 0.0000 [1 per cell]
Sb 0.0000 0.0000 0.5000 [1 per cell]
Te 0.0000 0.5000 0.0000 [2 per cell]
W 0.5000 0.5000 0.5000 [1 per cell]

Results
uncorrected formation energy	1.265	eV/atom
N(E_F)	2.4	states/eV/cell
calculated volume	121.1	Å³/f.u.
M_tot	6.5	μB per formula unit


DFT (SCAN) results for a PBEsol-optimized structure of YMnSb2Te.

Lattice parameters (Å, degrees): 5.6795 5.6795 5.6458 90.00 90.00 90.00
Space group P4/mmm (No. 123)
Asymmetric unit:
Y 0.0000 0.0000 0.0000 [1 per cell]
Mn 0.5000 0.5000 0.5000 [1 per cell]
Sb 0.0000 0.5000 0.0000 [2 per cell]
Te 0.0000 0.0000 0.5000 [1 per cell]

Results
uncorrected formation energy	0.392	eV/atom
N(E_F)	4.7	states/eV/cell
calculated volume	182.1	Å³/f.u.
M_tot	4.9	μB per formula unit